[1]
Material: Ba2ZnAu2O6
Method: DFT, PBE
State: relaxed

Structure (POSCAR):
```
Ba2ZnAu2O6
1.0
6.118 0.000 0.000
3.059 5.298 0.000
3.059 1.766 5.775
Ba Zn Au O
2 1 2 6
direct
0.783 0.783 0.650 Ba
0.217 0.217 0.350 Ba
0.000 0.000 0.000 Zn
0.413 0.413 0.762 Au
0.587 0.587 0.238 Au
0.773 0.773 0.254 O
0.201 0.773 0.254 O
0.773 0.201 0.254 O
0.227 0.799 0.746 O
0.799 0.227 0.746 O
0.227 0.227 0.746 O
```

Computed properties:
Density of states at the Fermi level   5.8 states/eV/cell
Formation energy from raw total energies   -1.019 eV per atom
E_tot   -52.6 eV/f.u.

---

[2]
Material: Ba2ZnAuO4
Method: DFT, PBE
State: relaxed

Structure (POSCAR):
```
Ba2ZnAuO4
1.0
-0.945 -5.443 -1.237
4.090 0.537 3.878
-4.606 2.421 2.231
Ba Zn Au O
2 1 1 4
direct
0.500 0.750 0.250 Ba
0.000 0.000 0.000 Ba
0.500 0.250 0.750 Zn
0.000 0.500 0.500 Au
0.545 0.286 0.420 O
0.135 0.259 0.714 O
0.865 0.580 0.125 O
0.455 0.875 0.741 O
```

Computed properties:
Density of states at the Fermi level   0.8 states/eV/cell
Formation energy from raw total energies   -1.503 eV per atom
E_tot   -40.3 eV/f.u.

---

[3]
Material: BaZrAuO2
Method: DFT, PBE
State: relaxed

Structure (POSCAR):
```
BaZrAuO2
1.0
4.235 0.000 0.000
0.000 7.474 0.000
0.000 0.000 4.235
O Au Ba Zr
2 1 1 1
direct
0.000 0.000 0.500 O
0.500 0.000 0.000 O
0.500 0.500 0.500 Au
0.000 0.500 0.000 Ba
0.000 0.000 0.000 Zr
```

Computed properties:
Density of states at the Fermi level   1.9 states/eV/cell
Formation energy from raw total energies   -1.321 eV per atom
E_tot   -30.3 eV/f.u.

---

[4]
Material: BaZr3Au4O12
Method: DFT, PBE
State: relaxed

Structure (POSCAR):
```
BaZr3Au4O12
1.0
7.352 -0.188 -0.261
-1.954 7.090 -0.261
-1.954 -2.498 6.641
Ba Zr Au O
1 3 4 12
direct
0.000 0.000 0.000 Ba
0.574 0.426 0.000 Zr
0.426 0.000 0.574 Zr
0.000 0.574 0.426 Zr
0.868 0.132 0.500 Au
0.132 0.500 0.868 Au
0.500 0.868 0.132 Au
0.500 0.500 0.500 Au
0.500 0.329 0.671 O
0.888 0.500 0.112 O
0.112 0.888 0.500 O
0.500 0.112 0.888 O
0.356 0.007 0.272 O
0.272 0.356 0.007 O
0.007 0.272 0.356 O
0.644 0.728 0.993 O
0.993 0.644 0.728 O
0.728 0.993 0.644 O
0.671 0.500 0.329 O
0.329 0.671 0.500 O
```

Computed properties:
Density of states at the Fermi level   21.5 states/eV/cell
Formation energy from raw total energies   -1.546 eV per atom
E_tot   -131.1 eV/f.u.

---

[5]
Material: BaOs2Au
Method: DFT, PBE
State: relaxed

Structure (POSCAR):
```
BaOs2Au
1.0
2.963 0.000 0.000
0.000 5.100 0.000
0.000 0.000 5.368
Os Au Ba
2 1 1
direct
0.000 0.000 0.000 Os
0.500 0.500 0.000 Os
0.500 0.000 0.500 Au
0.000 0.500 0.500 Ba
```

Computed properties:
Density of states at the Fermi level   4.7 states/eV/cell
ΔE_f   1.174 eV per atom
Energy relative to the lowest polymorph listed for this composition   0.9703 eV/atom
E_tot   -23.0 eV/f.u.

---

[6]
Material: BaOs2Au
Method: DFT, PBE
State: relaxed

Structure (POSCAR):
```
BaOs2Au
1.0
0.000 3.425 3.425
3.425 0.000 3.425
3.425 3.425 0.000
Os Au Ba
2 1 1
direct
0.250 0.250 0.250 Os
0.750 0.750 0.750 Os
0.500 0.500 0.500 Au
0.000 0.000 0.000 Ba
```

Computed properties:
Density of states at the Fermi level   3.4 states/eV/cell
ΔE_f   1.589 eV per atom
Energy relative to the lowest polymorph listed for this composition   1.3853 eV/atom
E_tot   -21.3 eV/f.u.